DFT (PBE+U) results for a relaxed structure of NdMoIO4.

It has space group C2/m (No. 12), with a = 11.109 Å, b = 7.462 Å, c = 7.254 Å, α = 90.00°, β = 105.55° and γ = 90.00°. The inequivalent atoms are Nd at (0.244, 0.000, 0.134), Mo at (0.136, 0.500, 0.263), I at (0.019, 0.000, 0.752), O at (0.031, 0.500, 0.791), O at (0.190, 0.313, 0.146) and O at (0.199, 0.500, 0.517).

The total energy comes out at -6.819 eV per atom. The crystal system is monoclinic.